No. 1
Entry from Alexandria: a geometry-optimized SrAcCu2Si2 structure (PBE).

Summary:
**Crystal system**: trigonal
**Density**: 5.9 g/cm3
**Energy relative to the elements, uncorrected**: -447 meV/atom
**Volume**: 139 Å³ per cell

Cell lengths 4.2306, 4.2306, 8.9736 Å; angles 90.00, 90.00, 120.00 degrees
Closest atoms and distances in Å follow each position.
Element x y z (fractional)
Cu: 0.6667 0.3333 0.7497  3 Si 2.44
Si: 0.3333 0.6667 0.7538  3 Cu 2.44
Cu: 0.3333 0.6667 0.2503  3 Si 2.44
Si: 0.6667 0.3333 0.2462  3 Cu 2.44
Ac: 0.0000 0.0000 0.0000  6 Si 3.29, 6 Cu 3.32
Sr: 0.0000 0.0000 0.5000  6 Cu 3.31, 6 Si 3.34

---

No. 2
Entry from Alexandria: a geometry-optimized RbMnPCl2 structure (PBE).

Summary:
**ΔE to the lowest computed polymorph**: 0.0 meV/atom
**Crystal system**: tetragonal
**Density**: 3.2 g/cm3
**Energy relative to the elements, uncorrected**: -727 meV/atom
**Volume**: 127 Å³ per cell

Cell lengths 5.2744, 5.2744, 4.5544 Å; angles 90.00, 90.00, 90.00 degrees
Closest atoms and distances in Å follow each position.
Element x y z (fractional)
Rb: 0.5000 0.5000 0.5000  8 Cl 3.48, 4 P 3.73
Cl: 0.0000 0.5000 0.0000  2 Mn 2.64
P: 0.0000 0.0000 0.5000  2 Mn 2.28
Cl: 0.5000 0.0000 0.0000  2 Mn 2.64
Mn: 0.0000 0.0000 0.0000  2 P 2.28

---

No. 3
Entry from Alexandria: a geometry-optimized TbGa2Ag structure (PBE).

Summary:
**Crystal system**: tetragonal
**Density**: 8.3 g/cm3
**Volume**: 81 Å³ per cell
**ΔE_f**: -0.3937 eV per atom

Cell lengths 4.1769, 4.4056, 4.4056 Å; angles 90.00, 90.00, 90.00 degrees
Closest atoms and distances in Å follow each position.
Element x y z (fractional)
Ga: 0.0000 0.5000 0.0000  4 Tb 3.04, 4 Ag 3.04, 4 Ga 3.12
Ag: 0.5000 0.0000 0.0000  8 Ga 3.04, 4 Tb 3.12
Ga: 0.0000 0.0000 0.5000  4 Tb 3.04, 4 Ag 3.04, 4 Ga 3.12
Tb: 0.5000 0.5000 0.5000  8 Ga 3.04, 4 Ag 3.12

---

No. 4
Entry from Alexandria: a geometry-optimized MnFeOs3 structure (PBE).

Summary:
**ΔE to the lowest computed polymorph**: 1929.9 meV/atom
**Crystal system**: cubic
**Density**: 13.8 g/cm3
**Volume**: 82 Å³ per cell
**ΔE_f**: 2.0364 eV per atom

Cell lengths 4.3407, 4.3407, 4.3407 Å; angles 90.00, 90.00, 90.00 degrees
Closest atoms and distances in Å follow each position.
Element x y z (fractional)
Os: 0.5000 0.0000 0.0000  2 Fe 2.17
Os: 0.0000 0.5000 0.0000  2 Fe 2.17
Os: 0.0000 0.0000 0.5000  2 Fe 2.17
Fe: 0.0000 0.0000 0.0000  6 Os 2.17
Mn: 0.5000 0.5000 0.5000  12 Os 3.07

---

No. 5
Entry from Alexandria: a geometry-optimized GeP2Pd8 structure (PBE).

Summary:
**ΔE to the lowest computed polymorph**: 0.0 meV/atom
**Crystal system**: monoclinic
**Density**: 9.9 g/cm3
**Volume**: 165 Å³ per cell
**ΔE_f**: -0.4489 eV per atom

Cell lengths 4.0595, 6.0025, 7.5452 Å; angles 110.80, 105.61, 90.00 degrees
Closest atoms and distances in Å follow each position.
Element x y z (fractional)
Pd: 0.4077 0.5272 0.8154  2 P 2.46, 1 Ge 2.65
Pd: 0.3209 0.0232 0.6418  1 P 2.33
Ge: 0.5000 0.0000 0.0000  8 Pd 2.53-2.66
Pd: 0.8063 0.6824 0.6125  1 P 2.31
P: 0.8245 0.3156 0.6490  5 Pd 2.31-2.46
Pd: 0.1937 0.3176 0.3875  1 P 2.31
Pd: 0.0355 0.7936 0.0710  1 P 2.36, 2 Ge 2.53
Pd: 0.9645 0.2064 0.9290  1 P 2.36, 2 Ge 2.53
Pd: 0.5923 0.4728 0.1846  2 P 2.46, 1 Ge 2.65
P: 0.1755 0.6844 0.3510  5 Pd 2.31-2.46
Pd: 0.6791 0.9768 0.3582  1 P 2.33

---

No. 6
Entry from Alexandria: a geometry-optimized NdPaTe4 structure (PBE).

Summary:
**ΔE to the lowest computed polymorph**: 0.0 meV/atom
**Crystal system**: monoclinic
**Density**: 6.0 g/cm3
**Energy relative to the elements, uncorrected**: -1038 meV/atom
**Volume**: 245 Å³ per cell

Cell lengths 4.4620, 8.4223, 7.6769 Å; angles 117.02, 90.00, 105.36 degrees
Closest atoms and distances in Å follow each position.
Element x y z (fractional)
Te: 0.8794 0.7588 0.2304  2 Pa 3.05, 1 Nd 3.20
Te: 0.6220 0.2440 0.3067  1 Pa 2.98, 2 Nd 3.17
Te: 0.3780 0.7560 0.6933  1 Pa 2.98, 2 Nd 3.17
Te: 0.1206 0.2412 0.7696  2 Pa 3.05, 1 Nd 3.20
Nd: 0.0000 0.0000 0.0000  6 Te 3.17-3.20
Pa: 0.5000 0.0000 0.5000  6 Te 2.98-3.05